(1)
DyTl5Cl8 | GGA-PBE | optimized geometry

Structure (POSCAR):
```
DyTl5Cl8
1.0
7.9993 0.1207 -2.6984
-4.1054 6.8806 -2.6627
0.0823 0.2598 9.0657
Dy Tl Cl
1 5 8
Cartesian
-0.6473 6.0231 1.3233
5.9033 2.6529 5.7361
3.0695 4.0675 1.3740
-1.0212 6.2374 -3.2790
2.3323 4.3054 5.9678
-0.2159 1.1747 3.8764
-2.5545 5.5959 -0.4820
-0.1510 3.4185 1.4894
1.2054 6.1050 -0.6073
-0.4440 3.2804 5.9463
3.5282 2.3775 -1.0141
-2.5846 6.0368 3.1411
1.1979 6.3389 3.2138
3.1255 1.7938 3.8236
```

total magnetic moment: 0.00 μB/cell
E_tot: -50.60 eV per cell
raw formation energy: -134 kJ/mol of atoms
volume: 36.67 Å³/atom
space group: C2

---

(2)
DyTl4Cl7 | GGA-PBE | optimized geometry

Structure (POSCAR):
```
DyTl4Cl7
1.0
-2.5255 4.2005 1.8444
-4.9366 -0.4148 -5.8152
-2.1239 -8.0294 7.9438
Dy Tl Cl
1 4 7
Cartesian
0.0000 0.0000 0.0000
-5.0788 -5.0997 4.6599
-4.5073 0.8561 -0.6869
-6.2905 -3.9696 0.4270
-3.2956 -0.2740 3.5460
-2.2512 -1.3909 0.0851
-7.3349 -2.8527 3.8879
-5.1445 -3.0439 7.3225
-4.4416 -1.1997 -3.3495
-6.6156 -0.8546 0.3221
-1.2628 2.1003 0.9222
-2.9705 -3.3890 3.6509
```

total magnetic moment: 0.00 μB/cell
E_tot: -44.19 eV per cell
raw formation energy: -138 kJ/mol of atoms
volume: 34.53 Å³/atom
space group: C2/m

---

(3)
DyTlVCl6 | GGA-PBE | optimized geometry

Structure (POSCAR):
```
DyTlVCl6
1.0
-2.2638 -3.5644 5.1440
1.1635 -2.9615 -5.8452
13.6097 -2.7345 4.0945
Dy Tl V Cl
2 2 2 12
Cartesian
2.2811 -4.0471 2.5046
10.2284 -5.2134 0.8888
0.0000 0.0000 0.0000
6.8048 -1.3672 2.0473
3.4235 -3.8461 -1.1585
9.0859 -5.4143 4.5519
1.3557 -4.5314 0.0645
2.4176 -1.5846 -1.4969
7.9957 -3.1676 4.4839
10.0918 -7.6759 4.8903
4.4110 -3.3508 1.0822
5.4897 -2.9273 -2.2204
10.1563 -4.6707 6.6832
4.5138 -6.0929 -1.0905
7.0197 -6.3331 5.6137
2.3532 -4.5897 -3.2898
8.0984 -5.9096 2.3112
11.1537 -4.7290 3.3288
```

total magnetic moment: 6.00 μB/cell
E_tot: -83.82 eV per cell
raw formation energy: -158 kJ/mol of atoms
volume: 30.84 Å³/atom
space group: P-31c

---

(4)
DyTlZnCl6 | GGA-PBE | optimized geometry

Structure (POSCAR):
```
DyTlZnCl6
1.0
6.7371 0.0000 0.0000
-3.3686 5.8345 0.0000
0.0000 0.0000 14.1647
Dy Tl Zn Cl
2 2 2 12
Cartesian
3.3686 1.9448 3.5412
0.0000 3.8897 10.6235
0.0000 0.0000 0.0000
0.0000 0.0000 7.0823
0.0000 3.8897 3.5412
3.3686 1.9448 10.6235
2.0230 3.7016 2.0732
-1.1744 2.2318 2.0732
2.5200 0.0989 9.1556
4.5429 3.6028 12.0914
1.1744 2.2318 5.0091
-2.0230 3.7016 5.0091
4.2172 0.0989 12.0914
0.8486 5.7357 5.0091
5.3916 2.1329 9.1556
-0.8486 5.7357 2.0732
2.1942 3.6028 9.1556
1.3456 2.1329 12.0914
```

total magnetic moment: 0.00 μB/cell
E_tot: -67.64 eV per cell
raw formation energy: -155 kJ/mol of atoms
volume: 30.93 Å³/atom
space group: P-31c

---

(5)
DyTm2Cl | GGA-PBE | optimized geometry

Structure (POSCAR):
```
DyTm2Cl
1.0
-0.2031 -3.0933 1.3959
-0.4880 -2.7261 -1.9719
10.7812 -3.1424 -1.2545
Cl Tm Dy
1 2 1
Cartesian
5.0450 -4.4809 -0.9152
7.4637 -2.7801 -0.9344
2.6263 -6.1817 -0.8961
0.0000 0.0000 0.0000
```

total magnetic moment: 1.17 μB/cell
E_tot: -16.66 eV per cell
raw formation energy: -31 kJ/mol of atoms
volume: 27.85 Å³/atom
space group: R-3m

---

(6)
DyTmCl6 | GGA-PBE | optimized geometry

Structure (POSCAR):
```
DyTmCl6
1.0
-2.8889 5.2308 -3.0212
-4.1910 3.9459 3.4207
2.2917 6.5764 1.7749
Dy Tm Cl
1 1 6
Cartesian
0.0000 0.0000 0.0000
-2.3941 7.8766 1.0872
-0.2588 7.0480 2.3572
-0.8976 9.2562 -0.5612
-2.2242 5.8105 -0.5135
-3.8906 6.4969 2.7357
-4.5294 8.7051 -0.1828
-2.5640 9.9427 2.6879
```

total magnetic moment: 0.00 μB/cell
E_tot: -38.15 eV per cell
raw formation energy: -217 kJ/mol of atoms
volume: 29.41 Å³/atom
space group: R-3

---

(7)
DyTmCl3 | GGA-PBE | optimized geometry

Structure (POSCAR):
```
DyTmCl3
1.0
3.6969 0.0000 0.7435
1.3939 8.0002 2.6321
0.0084 0.0614 9.5206
Dy Tm Cl
2 2 6
Cartesian
0.5342 0.1398 6.9066
4.5650 7.9218 5.9896
1.8489 1.6547 9.9322
3.2503 6.4070 2.9640
2.7111 1.4459 5.6451
2.3881 6.6157 7.2511
1.7570 5.5481 10.3893
3.3422 2.5135 2.5069
4.0257 2.6743 8.6714
1.0735 5.3873 4.2248
```

total magnetic moment: 0.00 μB/cell
E_tot: -47.43 eV per cell
raw formation energy: -176 kJ/mol of atoms
volume: 28.10 Å³/atom
space group: C2/m

---

(8)
Dy2TmCl | GGA-PBE | optimized geometry

Structure (POSCAR):
```
Dy2TmCl
1.0
3.5796 0.0000 0.0000
1.7898 3.1000 0.0000
1.7898 1.0333 9.9118
Cl Tm Dy
1 1 2
Cartesian
0.0000 0.0000 0.0000
3.5796 2.0667 4.9559
5.3694 3.1000 7.7272
1.7898 1.0333 2.1846
```

total magnetic moment: 0.00 μB/cell
E_tot: -18.09 eV per cell
raw formation energy: -62 kJ/mol of atoms
volume: 27.50 Å³/atom
space group: R-3m

---

(9)
Dy3TmCl | GGA-PBE | optimized geometry

Structure (POSCAR):
```
Dy3TmCl
1.0
5.2553 0.0000 0.0000
0.0000 5.2553 0.0000
0.0000 0.0000 5.2553
Cl Tm Dy
1 1 3
Cartesian
0.0000 0.0000 0.0000
2.6277 2.6277 2.6277
0.0000 2.6277 0.0000
0.0000 0.0000 2.6277
2.6277 0.0000 0.0000
```

total magnetic moment: 0.00 μB/cell
E_tot: -22.29 eV per cell
raw formation energy: -42 kJ/mol of atoms
volume: 29.03 Å³/atom
space group: Pm-3m

---

(10)
DyY2Cl | GGA-PBE | optimized geometry

Structure (POSCAR):
```
DyY2Cl
1.0
-2.4134 2.4092 -1.1979
-2.3277 1.5260 2.3058
4.8903 8.6326 2.0563
Y Cl Dy
2 1 1
Cartesian
0.3200 9.6612 2.4274
-0.1707 2.9066 0.7368
0.0000 0.0000 0.0000
0.0746 6.2839 1.5821
```

total magnetic moment: 0.00 μB/cell
E_tot: -22.01 eV per cell
raw formation energy: -63 kJ/mol of atoms
volume: 28.04 Å³/atom
space group: R-3m

---

(11)
Dy3YCl | GGA-PBE | optimized geometry

Structure (POSCAR):
```
Dy3YCl
1.0
5.2781 0.0000 0.0000
0.0000 5.2781 0.0000
0.0000 0.0000 5.2781
Y Cl Dy
1 1 3
Cartesian
2.6390 2.6390 2.6390
0.0000 0.0000 0.0000
0.0000 2.6390 0.0000
0.0000 0.0000 2.6390
2.6390 0.0000 0.0000
```

total magnetic moment: 0.00 μB/cell
E_tot: -24.39 eV per cell
raw formation energy: -44 kJ/mol of atoms
volume: 29.41 Å³/atom
space group: Pm-3m

---

(12)
DyYCl | GGA-PBE | optimized geometry

Structure (POSCAR):
```
DyYCl
1.0
-2.7937 -0.4100 -2.3665
-0.2682 -1.3484 3.4181
-2.7146 6.0198 2.1617
Y Cl Dy
1 1 1
Cartesian
-0.0675 0.1496 0.0537
-2.8539 1.2775 0.2800
-2.8551 2.8343 2.8795
```

total magnetic moment: 0.26 μB/cell
E_tot: -15.64 eV per cell
raw formation energy: -88 kJ/mol of atoms
volume: 27.23 Å³/atom
space group: P3m1

---

(13)
DyZnCl6 | GGA-PBE | optimized geometry

Structure (POSCAR):
```
DyZnCl6
1.0
6.3863 0.0054 0.0166
3.1840 5.5339 0.0287
3.1895 1.8510 5.8927
Dy Zn Cl
1 1 6
Cartesian
6.3799 3.6952 2.9690
0.0000 0.0000 0.0000
4.1941 3.6136 4.4784
7.5384 1.8518 4.4943
5.3705 1.7653 1.4441
5.2213 5.5385 1.4437
8.5657 3.7767 1.4596
7.3893 5.6250 4.4939
```

total magnetic moment: 1.09 μB/cell
E_tot: -27.80 eV per cell
raw formation energy: -131 kJ/mol of atoms
volume: 25.95 Å³/atom
space group: P-1

---

(14)
Dy2ZrCl | GGA-PBE | optimized geometry

Structure (POSCAR):
```
Dy2ZrCl
1.0
3.5134 0.0000 0.0000
1.7567 3.0427 0.0000
1.7567 1.0142 9.5664
Cl Zr Dy
1 1 2
Cartesian
0.0000 0.0000 0.0000
3.5134 2.0285 4.7832
5.2702 3.0427 7.3502
1.7567 1.0142 2.2161
```

total magnetic moment: 0.00 μB/cell
E_tot: -22.02 eV per cell
raw formation energy: -59 kJ/mol of atoms
volume: 25.57 Å³/atom
space group: R-3m

---

(15)
DyZrCl | GGA-PBE | optimized geometry

Structure (POSCAR):
```
DyZrCl
1.0
-3.7844 3.5828 -1.2749
-2.3246 -1.5421 -1.8657
-5.1468 -0.8678 7.1247
Zr Dy Cl
2 2 2
Cartesian
-6.3776 -0.0774 1.4392
-3.2651 -0.7532 1.1371
-6.5815 -0.5514 5.1130
-4.8717 0.8179 -1.1694
-6.5554 2.5799 2.4705
-8.0696 1.8099 5.0102
```

total magnetic moment: 0.00 μB/cell
E_tot: -33.15 eV per cell
raw formation energy: -51 kJ/mol of atoms
volume: 24.83 Å³/atom
space group: P1

---

(16)
ErCl2 | GGA-PBE | optimized geometry

Structure (POSCAR):
```
ErCl2
1.0
-2.0109 -1.6297 6.3292
-1.9015 -6.1896 -2.1979
3.1431 -1.2096 0.6871
Er Cl
2 4
Cartesian
0.0000 0.0000 0.0000
-0.3847 -4.5145 2.4092
-1.0982 -2.1949 1.1596
-2.8142 -5.6244 2.9716
-0.4153 -3.2345 4.8027
-0.3540 -5.7944 0.0157
```

total magnetic moment: 0.32 μB/cell
E_tot: -27.52 eV per cell
raw formation energy: -177 kJ/mol of atoms
volume: 26.79 Å³/atom
space group: P4_2/mnm

---

(17)
ErCl5 | GGA-PBE | optimized geometry

Structure (POSCAR):
```
ErCl5
1.0
3.9153 0.0000 -0.3729
0.0000 5.2450 0.0000
0.6058 0.0000 11.4438
Er Cl
1 5
Cartesian
0.5492 2.6225 6.9703
2.3599 0.0000 0.0733
0.5474 0.0000 6.9711
2.2806 0.0000 2.0644
2.6730 2.6225 8.5338
2.3409 2.6225 5.0339
```

total magnetic moment: 0.00 μB/cell
E_tot: -22.73 eV per cell
raw formation energy: -144 kJ/mol of atoms
volume: 39.36 Å³/atom
space group: Pm

---

(18)
ErCl4 | GGA-PBE | optimized geometry

Structure (POSCAR):
```
ErCl4
1.0
-4.4332 -0.0423 -2.8062
2.4782 -2.5211 -3.8771
-1.3171 -4.6013 2.1502
Cl Er
4 1
Cartesian
0.0000 0.0000 0.0000
-2.8751 -2.3218 -0.3280
0.5806 -3.5612 -0.8635
-0.9775 -1.2817 -3.3416
-1.6360 -3.5824 -2.2665
```

total magnetic moment: 1.00 μB/cell
E_tot: -19.39 eV per cell
raw formation energy: -144 kJ/mol of atoms
volume: 28.89 Å³/atom
space group: Pm-3m

---

(19)
Er4Cl | GGA-PBE | optimized geometry

Structure (POSCAR):
```
Er4Cl
1.0
-3.0142 -3.7129 -2.0817
3.0287 -3.6630 2.1479
-2.9910 0.0325 4.2729
Er Cl
4 1
Cartesian
0.0000 0.0000 0.0000
-3.0026 -1.8402 1.0956
0.0189 -1.8153 3.2104
0.0072 -3.6880 0.0331
-1.4882 -3.6717 2.1696
```

total magnetic moment: 0.00 μB/cell
E_tot: -22.13 eV per cell
raw formation energy: -39 kJ/mol of atoms
volume: 28.38 Å³/atom
space group: Pm-3m

---

(20)
Eu2ErCl | GGA-PBE | optimized geometry

Structure (POSCAR):
```
Eu2ErCl
1.0
3.7885 0.0000 0.0000
1.8943 3.2810 0.0000
1.8943 1.0937 10.3918
Eu Cl Er
2 1 1
Cartesian
5.6828 3.2810 8.1950
1.8943 1.0937 2.1967
0.0000 0.0000 0.0000
3.7885 2.1873 5.1959
```

total magnetic moment: 15.42 μB/cell
E_tot: -30.00 eV per cell
raw formation energy: -73 kJ/mol of atoms
volume: 32.29 Å³/atom
space group: R-3m

---

(21)
ErClF | GGA-PBE | optimized geometry

Structure (POSCAR):
```
ErClF
1.0
3.5154 0.0012 -0.0034
-0.0019 7.1171 1.4650
1.6960 4.1330 7.2632
Er Cl F
2 2 2
Cartesian
3.4855 7.1241 5.1788
1.7240 4.1272 3.5461
3.4823 9.8296 6.5208
1.7273 1.4218 2.2041
1.7292 7.0031 6.4247
3.4804 4.2483 2.3001
```

total magnetic moment: 0.00 μB/cell
ΔE to the lowest computed polymorph: 0.05 eV per formula unit
E_tot: -32.39 eV per cell
raw formation energy: -255 kJ/mol of atoms
volume: 26.75 Å³/atom
space group: P-1

---

(22)
ErClF | GGA-PBE | optimized geometry

Structure (POSCAR):
```
ErClF
1.0
-1.9545 -4.8623 -0.0443
3.6261 -0.1424 -0.7151
1.1598 2.5349 8.7338
F Er Cl
2 2 2
Cartesian
0.9279 0.1369 7.7027
1.9034 -2.6067 0.2718
2.7393 1.3129 7.1044
0.0920 -3.7827 0.8701
2.3396 -2.4943 5.1768
0.4918 0.0245 2.7976
```

total magnetic moment: 0.00 μB/cell
ΔE to the lowest computed polymorph: 0.00 eV per formula unit
E_tot: -32.49 eV per cell
raw formation energy: -256 kJ/mol of atoms
volume: 26.08 Å³/atom
space group: P-1

---

(23)
Er2FeCl | GGA-PBE | optimized geometry

Structure (POSCAR):
```
Er2FeCl
1.0
-0.9035 0.1643 -3.1257
-3.1610 0.1346 -0.7770
-1.0405 9.9401 -0.8747
Cl Fe Er
1 1 2
Cartesian
-2.5525 5.1195 -2.3887
0.0000 0.0000 0.0000
-1.1255 7.2786 -0.9900
-3.9795 2.9603 -3.7875
```

total magnetic moment: 2.18 μB/cell
E_tot: -19.56 eV per cell
raw formation energy: -3 kJ/mol of atoms
volume: 22.65 Å³/atom
space group: R-3m

---

(24)
ErFeCl | GGA-PBE | optimized geometry

Structure (POSCAR):
```
ErFeCl
1.0
3.7503 -0.0183 -0.5215
-1.8991 3.2757 -0.0279
-0.3166 -0.1218 11.2613
Er Fe Cl
2 2 2
Cartesian
2.3692 1.3836 3.1367
-0.8345 1.7519 7.5751
0.7600 0.4692 5.3425
0.7747 2.6664 5.3694
1.2857 0.8061 9.1119
0.2490 2.3294 1.6000
```

total magnetic moment: 1.26 μB/cell
E_tot: -36.44 eV per cell
raw formation energy: -108 kJ/mol of atoms
volume: 22.88 Å³/atom
space group: C2/m

---

(25)
ErFe2Cl8 | GGA-PBE | optimized geometry

Structure (POSCAR):
```
ErFe2Cl8
1.0
6.7713 -0.6662 -0.3677
-2.5797 6.2960 -0.3677
0.2157 0.2896 9.5668
Er Fe Cl
1 2 8
Cartesian
0.0000 0.0000 0.0000
0.1360 0.1826 3.0858
4.2713 5.7368 5.7456
-0.5360 6.1120 7.3204
-1.6019 4.6805 1.5110
1.0818 1.4529 4.7747
3.3255 4.4664 4.0566
6.0091 1.2389 7.3204
4.9433 -0.1927 1.5110
1.2743 1.7115 1.4622
3.1330 4.2079 7.3691
```

total magnetic moment: 9.00 μB/cell
E_tot: -50.01 eV per cell
raw formation energy: -121 kJ/mol of atoms
volume: 35.72 Å³/atom
space group: C2/m